Below is a geometry-optimized ReC2Se structure, with properties calculated at the PBE-GGA level.

a = 4.9631 Å, b = 4.9631 Å, c = 5.9006 Å
α = 65.13°, β = 65.13°, γ = 90.00°
Sites, in units of the cell vectors:
Re  0.0000  0.0000  0.0000
Re  0.7500  0.2500  0.5000
C  0.6821  0.1250  0.2500
C  0.0679  0.6250  0.2500
C  0.3750  0.3179  0.7500
C  0.8750  0.9321  0.7500
Se  0.5000  0.5000  0.0000
Se  0.2500  0.7500  0.5000

- Total moment: 0.000 μB per formula unit
- Formation energy (no corrections): 1233 meV per atom
- ρ: 8220 kg/m³
- V: 117 Å³/cell
- DOS(E_F): 0.4638 states/eV/atom
- Space group: I-42d